1.
DFT (PBE) results for a geometry-optimized LiYZn2Ga2 structure.

Lattice parameters (Å, degrees): 4.3162 4.3162 6.7075 90.00 90.00 120.00
Atoms (fractional coordinates):
Li 0.0000 0.0000 0.0000
Y 0.0000 0.0000 0.5000
Zn 0.3333 0.6667 0.1990
Zn 0.6667 0.3333 0.8010
Ga 0.3333 0.6667 0.7774
Ga 0.6667 0.3333 0.2226

***

2.
DFT (PBE) results for a geometry-optimized LiY2Zn4Ga3 structure.

Lattice parameters (Å, degrees): 4.1864 4.1864 10.5368 90.00 90.00 90.00
Atoms (fractional coordinates):
Li 0.0000 0.0000 0.0000
Y 0.0000 0.5000 0.7458
Y 0.5000 0.0000 0.2542
Zn 0.0000 0.0000 0.5000
Zn 0.0000 0.5000 0.1297
Zn 0.5000 0.0000 0.8703
Zn 0.5000 0.5000 0.5000
Ga 0.0000 0.5000 0.3593
Ga 0.5000 0.0000 0.6407
Ga 0.5000 0.5000 0.0000

***

3.
DFT (PBE) results for a geometry-optimized LiY4Zn2Ga structure.

Lattice parameters (Å, degrees): 8.8691 8.8691 8.8691 33.33 33.33 33.33
Atoms (fractional coordinates):
Li 0.0000 0.0000 0.0000
Y 0.1277 0.1277 0.1277
Y 0.3781 0.3781 0.3781
Y 0.6219 0.6219 0.6219
Y 0.8723 0.8723 0.8723
Zn 0.2555 0.2555 0.2555
Zn 0.7445 0.7445 0.7445
Ga 0.5000 0.5000 0.5000

***

no.,ΔH_f (0 K) (kJ per mole of atoms)
1,-40.4
2,-38.8
3,-32.0